The following is a PBE-GGA calculation of Ta6SnSb after structural relaxation, from OQMD.

```
Ta6SnSb
1.0
5.3085 0.0000 0.0000
0.0000 5.3085 0.0000
0.0000 0.0000 5.3085
Sb Sn Ta
1 1 6
Direct
0.0000 0.0000 0.0000
0.5000 0.5000 0.5000
0.2491 0.5000 0.0000
0.7509 0.5000 0.0000
0.5000 0.0000 0.2491
0.0000 0.2491 0.5000
0.0000 0.7509 0.5000
0.5000 0.0000 0.7509
```

Summary:
V	18.699	Å³/atom
electronic total energy	-79.9	eV/cell
space-group type	Pm-3, No. 200